Below is a relaxed structure of SrTl2Ge, with properties calculated at the PBE level.

Unit cell a=5.4809 b=5.4809 c=5.4809 alpha=60.00 beta=60.00 gamma=60.00
Closest atoms and distances in Å follow each position.
Fractional positions:
Tl: 0.2500 0.2500 0.2500  4 Ge 3.36, 4 Sr 3.36
Tl: 0.7500 0.7500 0.7500  4 Ge 3.36, 4 Sr 3.36
Ge: 0.0000 0.0000 0.0000  8 Tl 3.36
Sr: 0.5000 0.5000 0.5000  8 Tl 3.36

N(E_F): 0.3487 states/eV/atom
energy above the most stable polymorph in this dataset: 48 meV per atom
total moment: 0.0 μB/f.u.
SG: Fm-3m
VASP energy: -2.9077 eV/atom
ΔH_f (0 K): -0.15 eV/atom


Below is a relaxed structure of SrTlGe2, with properties calculated at the PBE level.

Unit cell a=5.3089 b=5.3089 c=5.3089 alpha=60.00 beta=60.00 gamma=60.00
Closest atoms and distances in Å follow each position.
Fractional positions:
Sr: 0.0000 0.0000 0.0000  8 Ge 3.25
Ge: 0.2500 0.2500 0.2500  4 Tl 3.25, 4 Sr 3.25
Ge: 0.7500 0.7500 0.7500  4 Tl 3.25, 4 Sr 3.25
Tl: 0.5000 0.5000 0.5000  8 Ge 3.25

N(E_F): 0.5272 states/eV/atom
energy above the most stable polymorph in this dataset: 3 meV per atom
total moment: 0.0 μB/f.u.
SG: Fm-3m
VASP energy: -3.3411 eV/atom
ΔH_f (0 K): -0.02 eV/atom


Below is a relaxed structure of SrTlGe, with properties calculated at the PBE level.

Unit cell a=5.1557 b=5.1557 c=5.1557 alpha=60.00 beta=60.00 gamma=60.00
Closest atoms and distances in Å follow each position.
Fractional positions:
Tl: 0.5000 0.5000 0.5000  4 Ge 3.16
Ge: 0.2500 0.2500 0.2500  4 Sr 3.16, 4 Tl 3.16
Sr: 0.0000 0.0000 0.0000  4 Ge 3.16

N(E_F): 0.3857 states/eV/atom
energy above the most stable polymorph in this dataset: 145 meV per atom
total moment: 0.0 μB/f.u.
SG: F-43m
VASP energy: -3.1654 eV/atom
ΔH_f (0 K): -0.28 eV/atom


Below is a relaxed structure of SrTl3Ge, with properties calculated at the PBE level.

Unit cell a=5.6031 b=5.6031 c=5.6031 alpha=90.00 beta=90.00 gamma=90.00
Closest atoms and distances in Å follow each position.
Fractional positions:
Tl: 0.0000 0.5000 0.0000  2 Ge 2.80
Tl: 0.0000 0.0000 0.5000  2 Ge 2.80
Tl: 0.5000 0.0000 0.0000  2 Ge 2.80
Sr: 0.5000 0.5000 0.5000  12 Tl 3.96
Ge: 0.0000 0.0000 0.0000  6 Tl 2.80

N(E_F): 0.5495 states/eV/atom
energy above the most stable polymorph in this dataset: 0 meV per atom
total moment: 0.0 μB/f.u.
SG: Pm-3m
VASP energy: -2.6155 eV/atom
ΔH_f (0 K): 0.06 eV/atom


Below is a relaxed structure of SrTlGe2, with properties calculated at the PBE level.

Unit cell a=4.9151 b=4.9151 c=10.4928 alpha=76.45 beta=76.45 gamma=90.00
Closest atoms and distances in Å follow each position.
Fractional positions:
Tl: 0.7500 0.2500 0.5000  4 Ge 2.86
Tl: 0.0000 0.0000 0.0000  4 Ge 2.86
Ge: 0.3750 0.2736 0.7500  2 Tl 2.86, 2 Ge 2.86
Ge: 0.0236 0.6250 0.2500  2 Tl 2.86, 2 Ge 2.86
Ge: 0.8750 0.9764 0.7500  2 Tl 2.86, 2 Ge 2.86
Ge: 0.7264 0.1250 0.2500  2 Tl 2.86, 2 Ge 2.86
Sr: 0.5000 0.5000 0.0000  4 Ge 3.26, 4 Tl 3.48
Sr: 0.2500 0.7500 0.5000  4 Ge 3.26, 4 Tl 3.48

N(E_F): 0.2107 states/eV/atom
energy above the most stable polymorph in this dataset: 0 meV per atom
total moment: 0.0 μB/f.u.
SG: I-42d
VASP energy: -3.3436 eV/atom
ΔH_f (0 K): -0.02 eV/atom


Below is a relaxed structure of Sr5Tl4Ge, with properties calculated at the PBE level.

Unit cell a=4.0556 b=4.0556 c=20.2739 alpha=90.00 beta=90.00 gamma=90.00
Closest atoms and distances in Å follow each position.
Fractional positions:
Sr: 0.5000 0.5000 0.0889  4 Ge 3.39, 4 Tl 3.59, 1 Sr 3.60
Sr: 0.5000 0.5000 0.9111  4 Ge 3.39, 4 Tl 3.59, 1 Sr 3.60
Sr: 0.5000 0.5000 0.2956  8 Tl 3.52
Sr: 0.5000 0.5000 0.5000  8 Tl 3.56
Sr: 0.5000 0.5000 0.7044  8 Tl 3.52
Tl: 0.0000 0.0000 0.6037  8 Sr 3.52-3.56
Tl: 0.0000 0.0000 0.3963  8 Sr 3.52-3.56
Tl: 0.0000 0.0000 0.8047  8 Sr 3.52-3.59
Tl: 0.0000 0.0000 0.1953  8 Sr 3.52-3.59
Ge: 0.0000 0.0000 0.0000  8 Sr 3.39

N(E_F): 0.7680 states/eV/atom
total moment: 0.0 μB/f.u.
SG: P4/mmm
VASP energy: -2.6718 eV/atom
ΔH_f (0 K): -0.42 eV/atom


Below is a relaxed structure of Sr4Tl5Ge2, with properties calculated at the PBE level.

Unit cell a=4.4916 b=8.3387 c=9.4875 alpha=91.91 beta=90.00 gamma=90.00
Closest atoms and distances in Å follow each position.
Fractional positions:
Sr: 0.5000 0.1986 0.8512  2 Ge 3.28, 8 Tl 3.52-3.62
Sr: 0.5000 0.7728 0.5917  4 Ge 3.33-3.35, 6 Tl 3.54-3.72
Sr: 0.5000 0.8014 0.1488  2 Ge 3.28, 8 Tl 3.52-3.62
Sr: 0.5000 0.2272 0.4083  4 Ge 3.33-3.35, 6 Tl 3.54-3.72
Tl: 0.0000 0.4448 0.6623  1 Ge 3.13, 2 Tl 3.22-3.24
Tl: 0.0000 0.5552 0.3377  1 Ge 3.13, 2 Tl 3.22-3.24
Tl: 0.0000 0.5000 0.0000  4 Tl 3.22-3.32
Tl: 0.0000 0.1347 0.1288  1 Ge 2.96, 1 Tl 3.26
Tl: 0.0000 0.8653 0.8712  1 Ge 2.96, 1 Tl 3.26
Ge: 0.0000 0.0701 0.6223  1 Ge 2.56
Ge: 0.0000 0.9299 0.3777  1 Ge 2.56

N(E_F): 0.5120 states/eV/atom
total moment: 0.0 μB/f.u.
SG: P2/m
VASP energy: -2.8951 eV/atom
ΔH_f (0 K): -0.37 eV/atom


Below is a relaxed structure of Sr2TlZn4Ge3, with properties calculated at the PBE level.

Unit cell a=4.4775 b=4.4775 c=10.9737 alpha=90.00 beta=90.00 gamma=90.00
Closest atoms and distances in Å follow each position.
Fractional positions:
Ge: 0.0000 0.5000 0.1273  5 Zn 2.50-2.64
Ge: 0.0000 0.0000 0.5000  4 Zn 2.75
Ge: 0.5000 0.0000 0.8727  5 Zn 2.50-2.64
Zn: 0.0000 0.5000 0.3549  3 Ge 2.50-2.75, 2 Tl 2.75
Zn: 0.0000 0.0000 0.0000  4 Ge 2.64
Zn: 0.5000 0.5000 0.0000  4 Ge 2.64
Zn: 0.5000 0.0000 0.6451  3 Ge 2.50-2.75, 2 Tl 2.75
Sr: 0.0000 0.5000 0.7622  6 Ge 3.39-3.65, 8 Zn 3.42-3.44, 2 Tl 3.65
Sr: 0.5000 0.0000 0.2378  6 Ge 3.39-3.65, 8 Zn 3.42-3.44, 2 Tl 3.65
Tl: 0.5000 0.5000 0.5000  4 Zn 2.75

N(E_F): 0.2788 states/eV/atom
total moment: 0.0 μB/f.u.
SG: P-4m2
VASP energy: -2.7832 eV/atom
ΔH_f (0 K): -0.32 eV/atom


Below is a relaxed structure of Sr2VGe, with properties calculated at the PBE level.

Unit cell a=8.8349 b=8.8349 c=7.0166 alpha=50.98 beta=50.98 gamma=90.00
Closest atoms and distances in Å follow each position.
Fractional positions:
Sr: 0.8750 0.9037 0.7500  2 Ge 3.06, 2 Sr 3.23, 2 V 3.40
Sr: 0.3750 0.3463 0.7500  2 Ge 3.06, 2 Sr 3.23, 2 V 3.40
Sr: 0.6537 0.1250 0.2500  2 Ge 3.06, 2 Sr 3.23, 2 V 3.40
Sr: 0.0963 0.6250 0.2500  2 Ge 3.06, 2 Sr 3.23, 2 V 3.40
Ge: 0.7500 0.2500 0.5000  4 Sr 3.06, 2 V 3.19
Ge: 0.0000 0.0000 0.0000  4 Sr 3.06, 2 V 3.19
V: 0.5000 0.5000 0.0000  2 Ge 3.19, 4 Sr 3.40
V: 0.2500 0.7500 0.5000  2 Ge 3.19, 4 Sr 3.40

N(E_F): 1.1566 states/eV/atom
total moment: 4.0 μB/f.u.
SG: I-42d
VASP energy: -3.7031 eV/atom
ΔH_f (0 K): 0.57 eV/atom


Below is a relaxed structure of SrV3Ge, with properties calculated at the PBE level.

Unit cell a=4.5797 b=4.5797 c=4.5797 alpha=90.00 beta=90.00 gamma=90.00
Closest atoms and distances in Å follow each position.
Fractional positions:
Sr: 0.0000 0.0000 0.0000  6 V 2.29
V: 0.0000 0.0000 0.5000  2 Sr 2.29
V: 0.5000 0.0000 0.0000  2 Sr 2.29
V: 0.0000 0.5000 0.0000  2 Sr 2.29
Ge: 0.5000 0.5000 0.5000  12 V 3.24

N(E_F): 1.7128 states/eV/atom
energy above the most stable polymorph in this dataset: 1622 meV per atom
total moment: 0.0 μB/f.u.
SG: Pm-3m
VASP energy: -4.3078 eV/atom
ΔH_f (0 K): 2.42 eV/atom


Below is a relaxed structure of SrV3Ge, with properties calculated at the PBE level.

Unit cell a=4.9418 b=4.9418 c=4.9418 alpha=90.00 beta=90.00 gamma=90.00
Closest atoms and distances in Å follow each position.
Fractional positions:
V: 0.5000 0.0000 0.0000  2 Ge 2.47
V: 0.0000 0.5000 0.0000  2 Ge 2.47
V: 0.0000 0.0000 0.5000  2 Ge 2.47
Sr: 0.5000 0.5000 0.5000  12 V 3.49
Ge: 0.0000 0.0000 0.0000  6 V 2.47

N(E_F): 1.1069 states/eV/atom
energy above the most stable polymorph in this dataset: 0 meV per atom
total moment: 10.2 μB/f.u.
SG: Pm-3m
VASP energy: -5.9297 eV/atom
ΔH_f (0 K): 0.80 eV/atom


Below is a relaxed structure of Sr2VGe2, with properties calculated at the PBE level.

Unit cell a=7.2810 b=7.2810 c=4.8577 alpha=90.00 beta=90.00 gamma=90.00
Closest atoms and distances in Å follow each position.
Fractional positions:
Sr: 0.8282 0.3282 0.5000  6 Ge 3.15-3.30
Sr: 0.1718 0.6718 0.5000  6 Ge 3.15-3.30
Sr: 0.6718 0.8282 0.5000  6 Ge 3.15-3.30
Sr: 0.3282 0.1718 0.5000  6 Ge 3.15-3.30
Ge: 0.3671 0.8671 0.0000  1 Ge 2.74, 2 V 2.84
Ge: 0.8671 0.6329 0.0000  1 Ge 2.74, 2 V 2.84
Ge: 0.6329 0.1329 0.0000  1 Ge 2.74, 2 V 2.84
Ge: 0.1329 0.3671 0.0000  1 Ge 2.74, 2 V 2.84
V: 0.5000 0.5000 0.0000  4 Ge 2.84
V: 0.0000 0.0000 0.0000  4 Ge 2.84

N(E_F): 0.7427 states/eV/atom
total moment: 2.9 μB/f.u.
SG: P4/mbm
VASP energy: -4.5354 eV/atom
ΔH_f (0 K): -0.19 eV/atom